The following is a DFT calculation (GGA-PBE) of a relaxed structure of ZrTa2Tc.

```
ZrTa2Tc
1.0
7.499 0.000 0.000
0.000 7.499 0.000
0.000 0.000 5.629
Zr Ta Tc
4 8 4
direct
0.000 0.000 0.000
0.000 0.500 0.250
0.500 0.000 0.750
0.500 0.500 0.500
0.211 0.250 0.625
0.250 0.711 0.875
0.250 0.789 0.375
0.289 0.250 0.125
0.711 0.750 0.125
0.750 0.211 0.375
0.750 0.289 0.875
0.789 0.750 0.625
0.000 0.000 0.500
0.000 0.500 0.750
0.500 0.000 0.250
0.500 0.500 0.000
```

Computed properties:
calculated formation energy: 410 meV per atom
relative energy among the computed polymorphs: 622 meV/atom
total moment: 0.000 μB/atom
mass density: 11.6 g/cm3


The following is a DFT calculation (GGA-PBE) of a relaxed structure of Pr3Sm12Tm.

```
Pr3Sm12Tm
1.0
5.140 0.000 0.000
0.000 5.140 0.000
0.000 0.000 20.550
Pr Sm Tm
3 12 1
direct
0.000 0.000 0.000
0.000 0.000 0.251
0.000 0.000 0.749
0.000 0.500 0.126
0.000 0.500 0.378
0.000 0.500 0.622
0.000 0.500 0.874
0.500 0.000 0.126
0.500 0.000 0.378
0.500 0.000 0.622
0.500 0.000 0.874
0.500 0.500 0.000
0.500 0.500 0.252
0.500 0.500 0.500
0.500 0.500 0.748
0.000 0.000 0.500
```

Computed properties:
calculated formation energy: 16 meV per atom
total moment: 0.000 μB/atom
mass density: 7.3 g/cm3


The following is a DFT calculation (GGA-PBE) of a relaxed structure of Ru2Pb.

```
Ru2Pb
1.0
3.028 0.000 0.000
0.000 18.133 0.000
0.000 0.000 4.250
Ru Pb
8 4
direct
0.000 0.146 0.250
0.000 0.236 0.750
0.000 0.764 0.250
0.000 0.854 0.750
0.500 0.264 0.250
0.500 0.354 0.750
0.500 0.646 0.250
0.500 0.736 0.750
0.000 0.416 0.250
0.000 0.584 0.750
0.500 0.084 0.750
0.500 0.916 0.250
```

Computed properties:
calculated formation energy: 410 meV per atom
relative energy among the computed polymorphs: 0 meV/atom
total moment: 0.000 μB/atom
mass density: 11.7 g/cm3


The following is a DFT calculation (GGA-PBE) of a relaxed structure of In3Ga2Sn3.

```
In3Ga2Sn3
1.0
17.173 0.000 0.000
0.000 4.969 0.000
-1.408 0.000 4.747
In Ga Sn
6 4 6
direct
0.000 0.000 0.000
0.133 0.000 0.632
0.367 0.500 0.368
0.500 0.500 0.000
0.633 0.500 0.632
0.867 0.000 0.368
0.248 0.000 0.247
0.252 0.500 0.753
0.748 0.500 0.247
0.752 0.000 0.753
0.000 0.500 0.500
0.138 0.500 0.137
0.362 0.000 0.863
0.500 0.000 0.500
0.638 0.000 0.137
0.862 0.500 0.863
```

Computed properties:
calculated formation energy: 29 meV per atom
relative energy among the computed polymorphs: 0 meV/atom
total moment: 0.000 μB/atom
mass density: 6.9 g/cm3


The following is a DFT calculation (GGA-PBE) of a relaxed structure of SmY2Ho12.

```
SmY2Ho12
1.0
3.556 -5.554 0.000
3.556 5.554 0.000
-1.774 0.000 24.159
Sm Y Ho
2 4 24
direct
0.250 0.250 0.000
0.750 0.750 0.000
0.066 0.066 0.272
0.433 0.433 0.728
0.567 0.567 0.272
0.934 0.934 0.728
0.047 0.549 0.202
0.082 0.581 0.331
0.138 0.638 0.555
0.143 0.143 0.574
0.217 0.217 0.863
0.233 0.733 0.925
0.267 0.767 0.075
0.283 0.283 0.138
0.357 0.357 0.426
0.362 0.862 0.445
0.419 0.918 0.669
0.451 0.953 0.798
0.549 0.047 0.202
0.581 0.082 0.331
0.638 0.138 0.555
0.643 0.643 0.574
0.717 0.717 0.862
0.733 0.233 0.925
0.767 0.267 0.075
0.783 0.783 0.137
0.857 0.857 0.426
0.862 0.362 0.445
0.918 0.419 0.669
0.953 0.451 0.798
```

Computed properties:
calculated formation energy: 111 meV per atom
total moment: 0.000 μB/atom
mass density: 8.0 g/cm3


Q: Which D(E_F) values were calculated for the entries above? A: 2.52; 23.81; 1.91; 3.26; 24.10, in states/eV/f.u..